A plane-wave DFT calculation with GGA-PBE was carried out for an optimized crystal structure of Li2TiAg2.

Cell lengths 7.6708, 7.6708, 2.8654 Å; angles 90.00, 90.00, 90.00 degrees
Last column: nearest neighbours and their distance in Å.
Fractional positions:
Li: 0.1478 0.6478 0.5000  6 Ag 2.62-2.70, 2 Li 2.87
Li: 0.6478 0.8522 0.5000  6 Ag 2.62-2.70, 2 Li 2.87
Li: 0.8522 0.3522 0.5000  6 Ag 2.62-2.70, 2 Li 2.87
Li: 0.3522 0.1478 0.5000  6 Ag 2.62-2.70, 2 Li 2.87
Ag: 0.3498 0.8498 0.0000  6 Li 2.62-2.70, 2 Ag 2.87, 2 Ti 2.92
Ag: 0.8498 0.6502 0.0000  6 Li 2.62-2.70, 2 Ag 2.87, 2 Ti 2.92
Ag: 0.6502 0.1502 0.0000  6 Li 2.62-2.70, 2 Ag 2.87, 2 Ti 2.92
Ag: 0.1502 0.3498 0.0000  6 Li 2.62-2.70, 2 Ag 2.87, 2 Ti 2.92
Ti: 0.0000 0.0000 0.0000  2 Ti 2.87, 4 Ag 2.92
Ti: 0.5000 0.5000 0.0000  2 Ti 2.87, 4 Ag 2.92

* space group: P4/mbm, No. 127
* offset from the most stable computed form: 84 meV per atom
* ΔH_f (0 K): 0.110 eV per atom



A plane-wave DFT calculation with GGA-PBE was carried out for an optimized crystal structure of AlTlAu.

Cell lengths 4.6400, 4.6400, 4.6400 Å; angles 60.00, 60.00, 60.00 degrees
Last column: nearest neighbours and their distance in Å.
Fractional positions:
Tl: 0.0000 0.0000 0.0000  4 Au 2.84
Au: 0.7500 0.7500 0.7500  4 Tl 2.84, 4 Al 2.84
Al: 0.5000 0.5000 0.5000  4 Au 2.84

* space group: F-43m, No. 216
* offset from the most stable computed form: 186 meV per atom
* ΔH_f (0 K): -0.016 eV per atom



A plane-wave DFT calculation with GGA-PBE was carried out for an optimized crystal structure of CePuN.

Cell lengths 6.2561, 5.0861, 5.5386 Å; angles 73.93, 55.61, 52.05 degrees
Last column: nearest neighbours and their distance in Å.
Fractional positions:
N: 0.5617 0.2144 0.6622  1 Pu 2.08
N: 0.4383 0.7856 0.3378  1 Pu 2.08
Pu: 0.7980 0.1973 0.2068  1 N 2.08
Pu: 0.2020 0.8027 0.7932  1 N 2.08
Ce: 0.2379 0.3546 0.1697  2 N 2.33-2.49
Ce: 0.7621 0.6454 0.8303  2 N 2.33-2.49

* formation energy from raw total energies: -0.22 eV/atom
* space group: C2/m, No. 12
* offset from the most stable computed form: 594 meV per atom



A plane-wave DFT calculation with GGA-PBE was carried out for an optimized crystal structure of Hf3TaSi.

Cell lengths 4.8459, 4.8459, 4.8459 Å; angles 90.00, 90.00, 90.00 degrees
Last column: nearest neighbours and their distance in Å.
Fractional positions:
Si: 0.0000 0.0000 0.0000  6 Hf 2.42
Hf: 0.0000 0.5000 0.0000  2 Si 2.42
Hf: 0.0000 0.0000 0.5000  2 Si 2.42
Hf: 0.5000 0.0000 0.0000  2 Si 2.42
Ta: 0.5000 0.5000 0.5000  12 Hf 3.43

* formation energy from raw total energies: 0.52 eV/atom
* space group: Pm-3m, No. 221
* offset from the most stable computed form: 0 meV per atom



A plane-wave DFT calculation with GGA-PBE was carried out for an optimized crystal structure of I.

Cell lengths 2.9584, 3.8234, 4.9432 Å; angles 112.75, 107.41, 90.00 degrees
Last column: nearest neighbours and their distance in Å.
Fractional positions:
I: 0.0000 0.0000 0.0000  2 I 2.96

* formation energy from raw total energies: 0.11 eV/atom
* space group: Immm, No. 71
* offset from the most stable computed form: 105 meV per atom



A plane-wave DFT calculation with GGA-PBE was carried out for an optimized crystal structure of Tb4ErTm6.

Cell lengths 7.5473, 7.5473, 8.3848 Å; angles 116.75, 116.75, 90.00 degrees
Last column: nearest neighbours and their distance in Å.
Fractional positions:
Tb: 0.0946 0.7525 0.8472  3 Tm 2.97-3.21, 2 Tb 3.25
Tb: 0.9054 0.9054 0.1528  3 Tm 2.97-3.21, 2 Tb 3.25
Tb: 0.7525 0.0946 0.8472  3 Tm 2.97-3.21, 2 Tb 3.25
Tb: 0.2475 0.2475 0.1528  3 Tm 2.97-3.21, 2 Tb 3.25
Er: 0.5000 0.5000 0.0000  8 Tm 3.51-3.77, 4 Tb 3.65
Tm: 0.9253 0.4401 0.3654  4 Tb 3.21-3.57, 1 Er 3.51, 2 Tm 3.57
Tm: 0.4401 0.9253 0.3654  4 Tb 3.21-3.57, 1 Er 3.51, 2 Tm 3.57
Tm: 0.5599 0.5599 0.6346  4 Tb 3.21-3.57, 1 Er 3.51, 2 Tm 3.57
Tm: 0.0000 0.5000 0.0000  4 Tb 2.97
Tm: 0.0747 0.0747 0.6346  4 Tb 3.21-3.57, 1 Er 3.51, 2 Tm 3.57
Tm: 0.5000 0.0000 0.0000  4 Tb 2.97

* space group: I-42m, No. 121
* offset from the most stable computed form: 165 meV per atom
* ΔH_f (0 K): 0.471 eV per atom



A plane-wave DFT calculation with GGA-PBE was carried out for an optimized crystal structure of Ba3Li4Ag4.

Cell lengths 4.7162, 8.1345, 9.3843 Å; angles 115.68, 104.55, 90.00 degrees
Last column: nearest neighbours and their distance in Å.
Fractional positions:
Ba: 0.1283 0.1283 0.2566  6 Ag 3.48, 6 Li 3.52-3.56
Ba: 0.8717 0.8717 0.7434  6 Ag 3.48, 6 Li 3.52-3.56
Ba: 0.0000 0.5000 0.0000  6 Ag 3.47-3.49
Li: 0.3234 0.1361 0.6467  4 Ag 2.87-3.11, 1 Li 3.05
Li: 0.6766 0.4894 0.3533  4 Ag 2.87-3.11, 1 Li 3.05
Li: 0.6766 0.8639 0.3533  4 Ag 2.87-3.11, 1 Li 3.05
Li: 0.3234 0.5106 0.6467  4 Ag 2.87-3.11, 1 Li 3.05
Ag: 0.2137 0.7137 0.4275  6 Li 2.87-3.11
Ag: 0.7863 0.2863 0.5725  6 Li 2.87-3.11
Ag: 0.5000 0.8169 0.0000  1 Ag 2.98, 2 Li 3.06
Ag: 0.5000 0.1831 0.0000  1 Ag 2.98, 2 Li 3.06

* space group: Immm, No. 71
* offset from the most stable computed form: 0 meV per atom
* ΔH_f (0 K): -0.187 eV per atom



A plane-wave DFT calculation with GGA-PBE was carried out for an optimized crystal structure of RbDyTe2O8.

Cell lengths 5.9297, 5.9297, 8.2941 Å; angles 90.00, 90.00, 120.00 degrees
Last column: nearest neighbours and their distance in Å.
Fractional positions:
Rb: 0.0000 0.0000 0.0000  12 O 3.27-3.44
Dy: 0.0000 0.0000 0.5000  6 O 2.25
Te: 0.6667 0.3333 0.2547  4 O 1.82-1.85
Te: 0.3333 0.6667 0.7453  4 O 1.82-1.85
O: 0.3333 0.6667 0.9644  1 Te 1.82
O: 0.3364 0.2274 0.3318  1 Te 1.85
O: 0.7726 0.1091 0.3318  1 Te 1.85
O: 0.6667 0.3333 0.0356  1 Te 1.82
O: 0.2274 0.8909 0.6682  1 Te 1.85
O: 0.6636 0.7726 0.6682  1 Te 1.85
O: 0.1091 0.3364 0.6682  1 Te 1.85
O: 0.8909 0.6636 0.3318  1 Te 1.85

* formation energy from raw total energies: -1.58 eV/atom
* space group: P-3, No. 147